Entry 1:
YTa2Si2As: optimized geometry, GGA-PBE.

abc: 3.961 3.961 7.794
angles: 90.00 90.00 90.00
Element x y z (fractional)
Si 0.000 0.000 0.224
Si 0.500 0.500 0.734
As 0.000 0.000 0.719
Ta 0.000 0.500 0.988
Ta 0.500 0.000 0.988
Y 0.500 0.500 0.347

Output
Final energy, eV/atom: -7.90


Entry 2:
TbSiAs: optimized geometry, GGA-PBE.

abc: 4.674 4.674 4.674
angles: 60.00 60.00 60.00
Element x y z (fractional)
Tb 0.750 0.750 0.750
Si 0.000 0.000 0.000
As 0.250 0.250 0.250

Output
Final energy, eV/atom: -5.06


Entry 3:
ThSiAs: optimized geometry, GGA-PBE.

abc: 4.726 4.726 4.726
angles: 60.00 60.00 60.00
Element x y z (fractional)
Si 0.000 0.000 0.000
As 0.250 0.250 0.250
Th 0.750 0.750 0.750

Output
Final energy, eV/atom: -6.00


Entry 4:
TmSiAs: optimized geometry, GGA-PBE.

abc: 4.697 4.697 4.697
angles: 60.00 60.00 60.00
Element x y z (fractional)
Tm 0.000 0.000 0.000
As 0.250 0.250 0.250
Si 0.750 0.750 0.750

Output
Final energy, eV/atom: -4.95


Entry 5:
TmSiAs: optimized geometry, GGA-PBE.

abc: 4.644 4.644 4.644
angles: 60.00 60.00 60.00
Element x y z (fractional)
Tm 0.750 0.750 0.750
As 0.000 0.000 0.000
Si 0.250 0.250 0.250

Output
Final energy, eV/atom: -4.99


Entry 6:
ZnSiAs2: optimized geometry, GGA-PBE.

abc: 4.650 4.650 4.650
angles: 60.00 60.00 60.00
Element x y z (fractional)
As 0.000 0.000 0.000
As 0.250 0.250 0.250
Zn 0.500 0.500 0.500
Si 0.750 0.750 0.750

Output
Distance to the lowest polymorph of the same formula, eV/f.u.: 2.59


Entry 7:
ZnSi2As: optimized geometry, GGA-PBE.

abc: 4.533 4.533 4.533
angles: 60.00 60.00 60.00
Element x y z (fractional)
Si 0.000 0.000 0.000
Si 0.750 0.750 0.750
As 0.500 0.500 0.500
Zn 0.250 0.250 0.250

Output
Final energy, eV/atom: -3.72


Entry 8:
ZnSiAs2: optimized geometry, GGA-PBE.

abc: 6.831 6.831 6.831
angles: 131.00 131.00 71.81
Element x y z (fractional)
Zn 0.000 0.000 0.000
Zn 0.250 0.750 0.500
As 0.863 0.875 0.488
As 0.387 0.375 0.512
As 0.125 0.613 0.987
As 0.625 0.137 0.013
Si 0.500 0.500 0.000
Si 0.750 0.250 0.500

Output
Distance to the lowest polymorph of the same formula, eV/f.u.: 0.00


Entry 9:
ZrSiAs: optimized geometry, GGA-PBE.

abc: 4.484 4.484 4.484
angles: 60.00 60.00 60.00
Element x y z (fractional)
Zr 0.750 0.750 0.750
As 0.000 0.000 0.000
Si 0.250 0.250 0.250

Output
Final energy, eV/atom: -6.16


Entry 10:
Sm2As: optimized geometry, GGA-PBE.

abc: 6.149 6.149 6.149
angles: 60.00 60.00 60.00
Element x y z (fractional)
Sm 0.625 0.625 0.625
Sm 0.625 0.125 0.625
Sm 0.625 0.625 0.125
Sm 0.125 0.625 0.625
As 0.250 0.250 0.250
As 0.000 0.000 0.000

Output
Final energy, eV/atom: -4.61


Entry 11:
Sm4As3: optimized geometry, GGA-PBE.

abc: 13.479 13.479 13.479
angles: 17.89 17.89 17.89
Each line ends with the local moment (μB).
Element x y z (fractional)
As 0.500 0.500 0.500  0.00
As 0.079 0.079 0.079  0.01
As 0.921 0.921 0.921  0.01
Sm 0.373 0.373 0.373  0.31
Sm 0.627 0.627 0.627  0.31
Sm 0.209 0.209 0.209  0.01
Sm 0.791 0.791 0.791  0.01

Output
Final energy, eV/atom: -5.93


Entry 12:
Sm2As: optimized geometry, GGA-PBE.

abc: 9.086 9.086 9.086
angles: 60.00 60.00 60.00
Each line ends with the local moment (μB).
Element x y z (fractional)
Sm 0.375 0.875 0.375  0.57
Sm 0.375 0.375 0.375  0.57
Sm 0.375 0.375 0.875  0.59
Sm 0.875 0.375 0.375  0.47
As 0.250 0.250 0.250  -0.03
As 0.500 0.500 0.500  -0.03

Output
Final energy, eV/atom: -3.97